Record 1
A plane-wave DFT calculation with PBE was carried out for a relaxed structure of CsBaCu3.

Results
ΔE_f = 1.0017 eV/atom
density of states at the Fermi level = 0.1164 states/eV per atom
spin magnetization = 0.0 μB per formula unit
energy above the lowest structure with this stoichiometry = 325.8 meV/atom
crystal system = cubic

```
CsBaCu3
1.0
5.849 0.000 0.000
0.000 5.849 0.000
0.000 0.000 5.849
Cs Cu Ba
1 3 1
Cartesian
0.000 0.000 0.000
2.925 0.000 0.000
0.000 0.000 2.925
0.000 2.925 0.000
2.925 2.925 2.925
```

Record 2
A plane-wave DFT calculation with PBE was carried out for a relaxed structure of NaAsRuSe2.

Results
density of states at the Fermi level = 1.4032 states/eV per atom
spin magnetization = 2.5 μB per formula unit
energy above the lowest structure with this stoichiometry = 1331.5 meV/atom
formation energy without anion corrections = 1391 meV/atom
crystal system = tetragonal

```
NaAsRuSe2
1.0
-1.324 -3.057 3.725
4.053 -2.796 -0.854
2.550 2.735 3.151
Se Ru Na As
2 1 1 1
Cartesian
-0.662 -1.528 1.862
2.026 -1.398 -0.427
2.639 -1.559 3.011
0.000 0.000 0.000
1.275 1.367 1.576
```

Record 3
A plane-wave DFT calculation with PBE was carried out for a relaxed structure of Li2SiBiS.

Results
density of states at the Fermi level = 0.4380 states/eV per atom
spin magnetization = 0.7 μB per formula unit
formation energy without anion corrections = -202 meV/atom
crystal system = tetragonal

```
Li2SiBiS
1.0
-4.121 -1.408 0.887
-0.627 -1.625 -5.491
1.592 -4.024 1.009
Bi S Li Si
1 1 2 1
Cartesian
-0.313 -0.812 -2.745
0.000 0.000 0.000
-2.060 -0.704 0.443
0.796 -2.012 0.505
-1.578 -3.528 -1.797
```

Record 4
A plane-wave DFT calculation with PBE was carried out for a relaxed structure of PmMn2H8.

Results
density of states at the Fermi level = 0.2697 states/eV per atom
spin magnetization = 3.3 μB per formula unit
energy above the lowest structure with this stoichiometry = 0.0 meV/atom
crystal system = monoclinic

```
PmMn2H8
1.0
3.643 0.217 0.326
-0.284 4.798 -0.179
-0.284 -2.013 4.359
H Pm Mn
8 1 2
Cartesian
2.483 1.535 2.304
-0.091 1.467 0.072
3.166 3.500 3.124
1.537 0.124 3.170
1.537 2.878 1.336
0.591 1.467 2.202
-0.091 -0.499 1.381
3.166 1.535 4.434
1.821 0.109 0.163
-0.284 2.591 1.291
-0.284 0.194 2.888
```

Record 5
A plane-wave DFT calculation with PBE was carried out for a relaxed structure of Cu2SeI.

Results
density of states at the Fermi level = 0.8473 states/eV per atom
spin magnetization = 0.0 μB per formula unit
energy above the lowest structure with this stoichiometry = 699.1 meV/atom
formation energy without anion corrections = 561 meV/atom
crystal system = cubic

```
Cu2SeI
1.0
0.000 3.402 3.402
3.402 0.000 3.402
3.402 3.402 0.000
I Cu Se
1 2 1
Cartesian
3.402 3.402 3.402
5.102 5.102 5.102
1.701 1.701 1.701
0.000 0.000 0.000
```

Record 6
A plane-wave DFT calculation with PBE was carried out for a relaxed structure of CrCoWC2.

Results
ΔE_f = 2.1294 eV/atom
density of states at the Fermi level = 1.8226 states/eV per atom
spin magnetization = 0.1 μB per formula unit
crystal system = tetragonal

```
CrCoWC2
1.0
-2.199 -3.074 -1.298
3.514 -2.782 0.634
-1.228 -0.700 3.738
W C Cr Co
1 2 1 1
Cartesian
0.000 0.000 0.000
-1.100 -1.537 -0.649
-0.614 -0.350 1.869
0.043 -3.277 1.537
1.757 -1.391 0.317
```

Record 7
A plane-wave DFT calculation with PBE was carried out for a relaxed structure of Th5Ti.

Results
ΔE_f = 0.1624 eV/atom
density of states at the Fermi level = 1.7850 states/eV per atom
spin magnetization = 0.0 μB per formula unit
crystal system = orthorhombic

```
Th5Ti
1.0
3.537 0.000 0.000
0.000 5.829 0.000
0.000 -2.915 8.681
Ti Th
1 5
Cartesian
0.000 0.000 0.000
0.000 0.000 5.581
1.768 0.000 2.549
0.000 2.915 3.099
1.768 2.915 0.000
1.768 2.915 6.132
```

Record 8
A plane-wave DFT calculation with PBE was carried out for a relaxed structure of Ca3CeEr2Te6.

Results
density of states at the Fermi level = 0.9502 states/eV per atom
spin magnetization = 1.5 μB per formula unit
formation energy without anion corrections = -1431 meV/atom
crystal system = monoclinic

```
Ca3CeEr2Te6
1.0
-3.699 3.942 5.400
-0.558 -7.617 -0.220
7.271 0.670 2.685
Er Te Ca Ce
2 6 3 1
Cartesian
-2.655 0.100 3.532
-1.602 -3.775 1.648
0.179 1.214 2.944
-1.362 -2.550 4.482
4.377 -0.455 3.382
1.759 -0.255 6.847
2.836 -4.219 4.920
1.256 -2.750 1.017
0.450 2.390 5.825
2.565 -5.395 2.039
1.507 -1.502 3.932
0.000 0.000 0.000
```

Record 9
A plane-wave DFT calculation with PBE was carried out for a relaxed structure of Tl2AsIrAu.

Results
ΔE_f = 1.1871 eV/atom
density of states at the Fermi level = 0.9010 states/eV per atom
spin magnetization = 1.4 μB per formula unit
crystal system = tetragonal

```
Tl2AsIrAu
1.0
5.497 0.000 0.000
0.000 4.878 0.000
0.000 0.000 5.497
Tl Ir Au As
2 1 1 1
Cartesian
0.000 0.000 2.748
2.748 0.000 0.000
2.748 2.439 2.748
0.000 0.000 0.000
0.000 2.439 0.000
```

Record 10
A plane-wave DFT calculation with PBE was carried out for a relaxed structure of BaTl3Zn2F9.

Results
density of states at the Fermi level = 0.0000 states/eV per atom
spin magnetization = 0.0 μB per formula unit
formation energy without anion corrections = -2387 meV/atom
crystal system = trigonal

```
BaTl3Zn2F9
1.0
6.149 0.000 0.000
-3.074 5.325 0.000
0.000 0.000 8.355
Tl F Zn Ba
3 9 2 1
Cartesian
0.000 3.550 6.221
0.000 0.000 0.000
3.074 1.775 2.135
3.074 0.000 0.000
1.605 0.927 5.985
-1.537 2.663 0.000
1.469 4.398 2.371
4.544 0.927 5.985
1.537 2.663 0.000
3.074 3.471 5.985
0.000 1.854 2.371
-1.469 4.398 2.371
0.000 3.550 1.298
3.074 1.775 7.057
0.000 0.000 4.178
```

Record 11
A plane-wave DFT calculation with PBE was carried out for a relaxed structure of KLi2Tl.

Results
ΔE_f = -0.0452 eV/atom
density of states at the Fermi level = 0.5120 states/eV per atom
spin magnetization = 0.0 μB per formula unit
energy above the lowest structure with this stoichiometry = 9.0 meV/atom
crystal system = monoclinic

```
KLi2Tl
1.0
5.346 0.010 0.018
4.033 3.509 0.018
1.427 0.535 6.496
K Li Tl
1 2 1
Cartesian
2.701 1.013 1.633
1.548 0.581 5.738
5.281 1.981 4.023
8.104 3.040 4.899
```

Record 12
A plane-wave DFT calculation with PBE was carried out for a relaxed structure of TbTcSn2.

Results
ΔE_f = -0.2276 eV/atom
density of states at the Fermi level = 0.8589 states/eV per atom
spin magnetization = 0.0 μB per formula unit
energy above the lowest structure with this stoichiometry = 5.9 meV/atom
crystal system = tetragonal

```
TbTcSn2
1.0
-1.199 1.781 -2.630
-2.896 0.543 1.687
2.875 6.252 2.922
Tb Tc Sn
1 1 2
Cartesian
-0.609 4.288 0.989
-2.047 1.162 -0.472
0.589 1.281 0.599
2.286 4.971 2.323
```

Record 13
A plane-wave DFT calculation with PBE was carried out for a relaxed structure of NiPb3W.

Results
ΔE_f = 1.2135 eV/atom
density of states at the Fermi level = 3.6451 states/eV per atom
spin magnetization = 0.7 μB per formula unit
energy above the lowest structure with this stoichiometry = 34.8 meV/atom
crystal system = cubic

```
NiPb3W
1.0
-1.877 3.249 -3.871
-4.860 -0.029 2.332
1.384 4.302 2.939
Pb Ni W
3 1 1
Cartesian
-0.938 1.625 -1.935
-2.430 -0.015 1.166
0.692 2.151 1.470
-2.676 3.761 0.700
0.000 0.000 0.000
```

Record 14
A plane-wave DFT calculation with PBE was carried out for a relaxed structure of La2Nd3Dy3.

Results
ΔE_f = 0.1187 eV/atom
density of states at the Fermi level = 1.4538 states/eV per atom
spin magnetization = 0.0 μB per formula unit
energy above the lowest structure with this stoichiometry = 98.7 meV/atom
crystal system = orthorhombic

```
La2Nd3Dy3
1.0
-2.925 1.540 1.537
2.966 -5.368 6.700
9.873 12.844 5.919
Nd Dy La
6 6 4
Cartesian
5.876 2.999 8.177
8.722 12.110 8.788
1.193 -3.094 5.369
3.648 -0.394 7.336
4.039 6.018 5.980
6.267 9.411 6.820
5.956 3.938 11.711
1.011 1.243 0.678
3.959 5.078 2.445
1.243 3.256 3.426
8.672 5.760 10.731
8.904 7.773 13.478
2.151 -0.076 4.170
5.810 6.551 8.816
4.105 2.466 5.341
7.764 9.093 9.987
```

Record 15
A plane-wave DFT calculation with PBE was carried out for a relaxed structure of Na6Cd2Ge.

Results
ΔE_f = -0.0566 eV/atom
density of states at the Fermi level = 0.3407 states/eV per atom
spin magnetization = 0.0 μB per formula unit
crystal system = trigonal

```
Na6Cd2Ge
1.0
-1.226 -4.741 2.278
1.516 -4.609 -2.373
8.862 -2.898 5.141
Na Ge Cd
6 1 2
Cartesian
2.461 -6.176 1.275
6.690 -6.071 3.771
8.365 -9.148 4.671
5.312 -9.224 2.869
3.840 -3.023 2.178
0.786 -3.099 0.375
0.000 0.000 0.000
6.571 -2.955 3.789
2.581 -9.292 1.257
```

Record 16
A plane-wave DFT calculation with PBE was carried out for a relaxed structure of Sc3AgO.

Results
density of states at the Fermi level = 1.7394 states/eV per atom
spin magnetization = 0.0 μB per formula unit
energy above the lowest structure with this stoichiometry = 396.3 meV/atom
formation energy without anion corrections = -971 meV/atom
crystal system = orthorhombic

```
Sc3AgO
1.0
3.150 -5.157 0.000
3.150 5.157 0.000
0.000 0.000 6.514
O Sc Ag
2 6 2
Cartesian
3.150 3.910 1.628
3.150 -3.910 4.885
0.000 0.000 3.257
1.588 -2.496 1.628
4.712 2.496 4.885
1.588 2.496 4.885
0.000 0.000 0.000
4.712 -2.496 1.628
3.150 0.158 1.628
3.150 -0.158 4.885
```

Record 17
A plane-wave DFT calculation with PBE was carried out for a relaxed structure of TaMnRe3.

Results
ΔE_f = 1.2148 eV/atom
density of states at the Fermi level = 1.0363 states/eV per atom
spin magnetization = 0.0 μB per formula unit
energy above the lowest structure with this stoichiometry = 0.0 meV/atom
crystal system = cubic

```
TaMnRe3
1.0
4.404 0.000 0.000
0.000 4.404 0.000
0.000 0.000 4.404
Re Ta Mn
3 1 1
Cartesian
2.202 0.000 0.000
0.000 0.000 2.202
0.000 2.202 0.000
2.202 2.202 2.202
0.000 0.000 0.000
```

Record 18
A plane-wave DFT calculation with PBE was carried out for a relaxed structure of AcErZnPd.

Results
ΔE_f = -0.4732 eV/atom
density of states at the Fermi level = 0.7721 states/eV per atom
spin magnetization = 0.0 μB per formula unit
crystal system = cubic

```
AcErZnPd
1.0
5.230 0.000 0.000
2.615 4.529 0.000
2.615 1.510 4.270
Zn Pd Er Ac
1 1 1 1
Cartesian
0.000 0.000 0.000
5.230 3.020 2.135
7.845 4.529 3.203
2.615 1.510 1.068
```

Record 19
A plane-wave DFT calculation with PBE was carried out for a relaxed structure of In2Fe2Se.

Results
density of states at the Fermi level = 0.9547 states/eV per atom
spin magnetization = 5.6 μB per formula unit
energy above the lowest structure with this stoichiometry = 154.3 meV/atom
formation energy without anion corrections = 344 meV/atom
crystal system = tetragonal

```
In2Fe2Se
1.0
8.335 0.000 0.000
0.000 8.335 0.000
0.000 0.000 2.785
Fe In Se
4 4 2
Cartesian
3.334 0.834 1.392
7.502 3.334 1.392
5.001 7.502 1.392
0.834 5.001 1.392
6.745 5.758 0.000
2.577 6.745 0.000
5.758 1.591 0.000
1.591 2.577 0.000
0.000 0.000 0.000
4.168 4.168 0.000
```

Record 20
A plane-wave DFT calculation with PBE was carried out for a relaxed structure of K2CaSnHg.

Results
ΔE_f = 0.1734 eV/atom
density of states at the Fermi level = 0.8277 states/eV per atom
spin magnetization = 0.0 μB per formula unit
crystal system = tetragonal

```
K2CaSnHg
1.0
-5.997 3.113 -0.850
-2.598 -4.400 2.220
0.569 2.786 6.188
Hg Sn K Ca
1 1 2 1
Cartesian
-1.299 -2.200 1.110
0.000 0.000 0.000
-2.999 1.556 -0.425
0.285 1.393 3.094
-4.013 0.750 3.779
```

Record 21
A plane-wave DFT calculation with PBE was carried out for a relaxed structure of AlCrCuTc.

Results
ΔE_f = -0.0840 eV/atom
density of states at the Fermi level = 0.3351 states/eV per atom
spin magnetization = 1.0 μB per formula unit
crystal system = cubic

```
AlCrCuTc
1.0
4.212 0.000 0.000
2.106 3.648 0.000
2.106 1.216 3.439
Cu Cr Al Tc
1 1 1 1
Cartesian
2.106 1.216 0.860
0.000 0.000 0.000
4.212 2.432 1.720
6.319 3.648 2.580
```

Record 22
A plane-wave DFT calculation with PBE was carried out for a relaxed structure of TbDy2Sn.

Results
ΔE_f = -0.0232 eV/atom
density of states at the Fermi level = 1.1504 states/eV per atom
spin magnetization = 0.0 μB per formula unit
energy above the lowest structure with this stoichiometry = 398.9 meV/atom
crystal system = orthorhombic

```
TbDy2Sn
1.0
-3.113 -0.766 1.207
2.189 -1.160 4.910
-0.108 13.018 3.123
Dy Tb Sn
4 2 2
Cartesian
-0.955 6.648 6.616
-0.076 4.444 2.624
-2.355 9.545 4.844
1.323 1.547 4.395
0.452 0.432 1.441
-1.484 10.660 7.799
-0.464 7.383 3.490
-0.568 3.709 5.749
```

Record 23
A plane-wave DFT calculation with PBE was carried out for a relaxed structure of MnAlHg3.

Results
ΔE_f = 0.5952 eV/atom
density of states at the Fermi level = 1.0583 states/eV per atom
spin magnetization = 3.3 μB per formula unit
energy above the lowest structure with this stoichiometry = 6.2 meV/atom
crystal system = cubic

```
MnAlHg3
1.0
-4.420 -2.726 0.329
2.419 -3.570 2.911
-1.299 2.626 4.299
Al Hg Mn
1 3 1
Cartesian
-1.650 -1.835 3.770
-0.650 1.313 2.150
-2.210 -1.363 0.165
1.209 -1.785 1.456
0.000 0.000 0.000
```

Record 24
A plane-wave DFT calculation with PBE was carried out for a relaxed structure of K2BeBr.

Results
density of states at the Fermi level = 0.9460 states/eV per atom
spin magnetization = 0.0 μB per formula unit
energy above the lowest structure with this stoichiometry = 153.2 meV/atom
formation energy without anion corrections = -49 meV/atom
crystal system = cubic

```
K2BeBr
1.0
2.079 -0.399 5.453
0.653 4.825 3.242
-3.539 0.963 4.557
Br K Be
1 2 1
Cartesian
-0.404 2.695 6.626
-0.605 4.042 9.940
-0.202 1.347 3.313
0.000 0.000 0.000
```

Record 25
A plane-wave DFT calculation with PBE was carried out for a relaxed structure of Ca2GeRuN.

Results
density of states at the Fermi level = 0.6773 states/eV per atom
spin magnetization = 0.0 μB per formula unit
formation energy without anion corrections = -491 meV/atom
crystal system = tetragonal

```
Ca2GeRuN
1.0
-2.539 3.328 -2.733
-3.890 -3.133 -0.200
-1.407 1.544 3.187
Ge Ca Ru N
1 2 1 1
Cartesian
-3.919 0.869 0.127
-1.270 1.664 -1.367
-1.945 -1.567 -0.100
-0.704 0.772 1.593
0.000 0.000 0.000
```

Record 26
A plane-wave DFT calculation with PBE was carried out for a relaxed structure of NaBe4Au8.

Results
ΔE_f = -0.1270 eV/atom
density of states at the Fermi level = 0.3671 states/eV per atom
spin magnetization = 0.0 μB per formula unit
crystal system = tetragonal

```
NaBe4Au8
1.0
4.941 0.000 1.986
2.471 6.202 0.993
0.157 0.000 6.748
Be Au Na
4 8 1
Cartesian
3.706 3.101 1.490
0.079 0.000 3.374
2.549 0.000 4.367
1.235 3.101 0.497
0.902 1.996 4.896
1.726 4.206 2.845
1.949 1.399 2.291
3.372 4.206 5.889
4.419 4.803 3.284
3.150 1.399 6.443
5.620 4.803 7.436
4.197 1.996 3.838
0.000 0.000 0.000
```